Here is crystalline PmBPtO4 at its relaxed geometry from Alexandria. Energies are from PBE.

abc: 5.2084 5.2084 6.6049
angles: 90.00 90.00 112.20
Element x y z (fractional)
Pm  0.0000  0.0000  0.0000
Pm  0.0000  0.0000  0.5000
B  0.3664  0.6336  0.7500
B  0.6336  0.3664  0.2500
Pt  0.3005  0.6995  0.2500
Pt  0.6995  0.3005  0.7500
O  0.2622  0.3196  0.7500
O  0.2670  0.7330  0.5667
O  0.2670  0.7330  0.9333
O  0.3196  0.2622  0.2500
O  0.6804  0.7378  0.7500
O  0.7330  0.2670  0.0667
O  0.7330  0.2670  0.4333
O  0.7378  0.6804  0.2500

Results
* electronic total energy: -7.17 eV per atom
* E_form (uncorrected): -1.8374 eV/atom